This record from Alexandria via LeMat-Bulk describes a relaxed structure of Zn2NiAg2. The functional is PBE. Values from VASP.

```
&SYSTEM
  ibrav = 0, nat = 10, ntyp = 3
/
ATOMIC_SPECIES
Zn 65.41 Zn.upf
Ag 107.87 Ag.upf
Ni 58.69 Ni.upf
ATOMIC_POSITIONS angstrom
Zn 6.196 2.484 1.454
Zn 4.940 6.196 1.454
Zn 1.228 4.940 1.454
Zn 2.484 1.228 1.454
Ag 1.010 2.702 0.000
Ag 2.702 6.414 0.000
Ag 4.721 1.010 0.000
Ag 6.414 4.721 0.000
Ni 0.000 0.000 0.000
Ni 3.712 3.712 0.000
CELL_PARAMETERS angstrom
7.424 0.000 0.000
0.000 7.424 0.000
0.000 0.000 2.909
```

Computed properties:
- DOS at the Fermi energy (states/eV/f.u.) = 2.34
- SG = P4/mbm
- raw total energy (eV/cell) = -25.824
- size of the total moment (μB per cell) = 0.000
- distance to the lowest polymorph of the same formula (meV per atom) = 104
- formation enthalpy at 0 K (eV/f.u.) = 1.12